Entry from the Alexandria database: a relaxed TcAuSe2 crystal (GGA-PBE).

Cell lengths 4.7329, 4.7329, 4.7329 Å; angles 60.00, 60.00, 60.00 degrees
With the nearest neighbours (Å) after each atom.
Fractional positions:
Tc 0.0000 0.0000 0.0000  4 Se 2.90, 4 Au 2.90
Au 0.7500 0.7500 0.7500  4 Se 2.90, 4 Tc 2.90
Se 0.2500 0.2500 0.2500  4 Se 2.90, 4 Tc 2.90
Se 0.5000 0.5000 0.5000  4 Se 2.90, 4 Au 2.90

E, eV per formula unit: -17.679
N(E_F), states/eV per atom: 0.513

---

Entry from the Alexandria database: a relaxed TcAuSe crystal (GGA-PBE).

Cell lengths 4.3432, 4.3432, 4.3432 Å; angles 60.00, 60.00, 60.00 degrees
With the nearest neighbours (Å) after each atom.
Fractional positions:
Tc 0.0000 0.0000 0.0000  4 Au 2.66, 4 Se 2.66
Au 0.7500 0.7500 0.7500  4 Tc 2.66
Se 0.2500 0.2500 0.2500  4 Tc 2.66

E, eV per formula unit: -16.024
N(E_F), states/eV per atom: 0.508

---

Entry from the Alexandria database: a relaxed Tc2AuSe crystal (GGA-PBE).

Cell lengths 2.9322, 3.7605, 6.2950 Å; angles 90.00, 90.00, 90.00 degrees
With the nearest neighbours (Å) after each atom.
Fractional positions:
Tc 0.0000 0.0000 0.0000  6 Tc 2.64-2.93, 4 Se 2.73, 1 Au 2.76
Tc 0.5000 0.5000 0.1807  1 Se 2.47, 4 Tc 2.64
Au 0.0000 0.0000 0.4384  5 Tc 2.76-2.88, 2 Au 2.93
Se 0.5000 0.5000 0.7886  5 Tc 2.47-2.73

E, eV per formula unit: -26.380
N(E_F), states/eV per atom: 0.812

---

Entry from the Alexandria database: a relaxed Th4TcAuSe2 crystal (GGA-PBE).

Cell lengths 7.2539, 4.1897, 7.6875 Å; angles 90.00, 108.03, 90.00 degrees
With the nearest neighbours (Å) after each atom.
Fractional positions:
Th 0.2285 0.0000 0.2229  2 Tc 2.88, 1 Au 2.98, 3 Se 3.08-3.19
Th 0.2343 0.5000 0.7713  1 Tc 2.80, 2 Au 3.02, 2 Se 3.07
Th 0.7657 0.5000 0.2287  1 Tc 2.80, 2 Au 3.02, 2 Se 3.07
Th 0.7715 0.0000 0.7771  2 Tc 2.88, 1 Au 2.98, 3 Se 3.08-3.19
Tc 0.0000 0.5000 0.0000  6 Th 2.80-2.88
Au 0.5000 0.0000 0.0000  6 Th 2.98-3.02
Se 0.0000 0.0000 0.5000  6 Th 3.07-3.08
Se 0.5000 0.5000 0.5000  6 Th 3.19-3.25

E, eV per formula unit: -57.717
N(E_F), states/eV per atom: 0.844

---

Entry from the Alexandria database: a relaxed TiTc2AuSe crystal (GGA-PBE).

Cell lengths 4.5527, 4.5527, 4.7617 Å; angles 90.00, 90.00, 90.00 degrees
With the nearest neighbours (Å) after each atom.
Fractional positions:
Ti 0.0000 0.0000 0.0000  4 Au 3.22, 8 Tc 3.29
Tc 0.0000 0.5000 0.5000  2 Se 2.28
Tc 0.5000 0.0000 0.5000  2 Se 2.28
Au 0.5000 0.5000 0.0000  2 Se 2.38
Se 0.5000 0.5000 0.5000  4 Tc 2.28, 2 Au 2.38

E, eV per formula unit: -30.483
N(E_F), states/eV per atom: 1.048

---

Entry from the Alexandria database: a relaxed Te2AuSe crystal (GGA-PBE).

Cell lengths 8.7875, 8.7875, 8.7875 Å; angles 153.99, 153.99, 37.11 degrees
With the nearest neighbours (Å) after each atom.
Fractional positions:
Te 0.0000 0.0000 0.0000  4 Se 2.80
Te 0.7500 0.2500 0.5000  4 Au 2.80
Au 0.2500 0.7500 0.5000  4 Te 2.80
Se 0.5000 0.5000 0.0000  4 Te 2.80

E, eV per formula unit: -12.216
N(E_F), states/eV per atom: 1.150